Entry from the Alexandria database: NdZn8Ru2 after structural relaxation (PBE).

The structure belongs to space group C2/m (No. 12); the cell edges are 7.1508, 13.7222 and 4.6406 Å and the angles 90.00°, 130.27° and 90.00°. The inequivalent atoms are Nd at (0.0000, 0.0000, 0.0000), Zn at (0.0000, 0.2110, 0.0000), Zn at (0.0005, 0.5000, 0.2503), Zn at (0.2376, 0.1375, 0.7380) and Ru at (0.0000, 0.3167, 0.5000).

For the raw total energy, the calculation gives -69.40 eV for the cell shown. The calculation puts the energy of formation from the pure elements at -1.19 eV per formula unit. The total magnetic moment comes out at 0.00 μB per formula unit.